First-principles (GGA+U) data for a relaxed K3VS2O2 crystal, as listed in Alexandria via LeMat-Bulk.

- E (eV/cell) = -163.936
- crystal system = monoclinic
- Fermi-level density of states (states/eV per atom) = 0.00

POSCAR file:
```
K3VS2O2
1.0
-4.214 -2.942 -5.286
-5.395 -5.625 7.432
-9.715 4.285 5.360
K O V S
12 8 4 8
direct
0.857 0.512 0.162
0.261 0.937 0.119
0.761 0.063 0.381
0.277 0.235 0.204
0.723 0.765 0.796
0.739 0.063 0.881
0.357 0.488 0.338
0.643 0.512 0.662
0.143 0.488 0.838
0.777 0.765 0.296
0.223 0.235 0.704
0.239 0.937 0.619
0.867 0.304 0.662
0.288 0.528 0.589
0.367 0.696 0.838
0.212 0.528 0.089
0.788 0.472 0.911
0.712 0.472 0.411
0.633 0.304 0.162
0.133 0.696 0.338
0.702 0.304 0.026
0.798 0.304 0.526
0.202 0.696 0.474
0.298 0.696 0.974
0.966 0.752 0.557
0.534 0.752 0.057
0.079 0.864 0.910
0.579 0.136 0.590
0.466 0.248 0.943
0.421 0.864 0.410
0.034 0.248 0.443
0.921 0.136 0.090
```

***

First-principles (GGA+U) data for a relaxed KVSO6 crystal, as listed in Alexandria via LeMat-Bulk.

- E (eV/cell) = -232.152
- crystal system = orthorhombic
- Fermi-level density of states (states/eV per atom) = 0.00

POSCAR file:
```
KVSO6
1.0
5.570 0.000 0.000
0.000 8.624 0.000
0.000 0.000 11.252
O V S K
24 4 4 4
direct
0.599 0.612 0.691
0.901 0.388 0.191
0.812 0.782 0.505
0.188 0.282 0.995
0.484 0.010 0.494
0.004 0.141 0.398
0.803 0.063 0.212
0.688 0.218 0.005
0.099 0.888 0.309
0.789 0.624 0.297
0.312 0.718 0.495
0.697 0.937 0.712
0.303 0.437 0.788
0.516 0.510 0.006
0.496 0.859 0.898
0.211 0.124 0.203
0.996 0.641 0.102
0.016 0.990 0.994
0.504 0.359 0.602
0.197 0.563 0.288
0.984 0.490 0.506
0.289 0.876 0.703
0.711 0.376 0.797
0.401 0.112 0.809
0.524 0.846 0.563
0.976 0.154 0.063
0.476 0.346 0.937
0.024 0.654 0.437
0.471 0.950 0.790
0.529 0.450 0.710
0.029 0.050 0.290
0.971 0.550 0.210
0.970 0.692 0.859
0.470 0.808 0.141
0.030 0.192 0.641
0.530 0.308 0.359
```

***

Repeat the second record exactly.
First-principles (GGA+U) data for a relaxed KVSO6 crystal, as listed in Alexandria via LeMat-Bulk.

- E (eV/cell) = -232.152
- crystal system = orthorhombic
- Fermi-level density of states (states/eV per atom) = 0.00

POSCAR file:
```
KVSO6
1.0
5.570 0.000 0.000
0.000 8.624 0.000
0.000 0.000 11.252
O V S K
24 4 4 4
direct
0.599 0.612 0.691
0.901 0.388 0.191
0.812 0.782 0.505
0.188 0.282 0.995
0.484 0.010 0.494
0.004 0.141 0.398
0.803 0.063 0.212
0.688 0.218 0.005
0.099 0.888 0.309
0.789 0.624 0.297
0.312 0.718 0.495
0.697 0.937 0.712
0.303 0.437 0.788
0.516 0.510 0.006
0.496 0.859 0.898
0.211 0.124 0.203
0.996 0.641 0.102
0.016 0.990 0.994
0.504 0.359 0.602
0.197 0.563 0.288
0.984 0.490 0.506
0.289 0.876 0.703
0.711 0.376 0.797
0.401 0.112 0.809
0.524 0.846 0.563
0.976 0.154 0.063
0.476 0.346 0.937
0.024 0.654 0.437
0.471 0.950 0.790
0.529 0.450 0.710
0.029 0.050 0.290
0.971 0.550 0.210
0.970 0.692 0.859
0.470 0.808 0.141
0.030 0.192 0.641
0.530 0.308 0.359
```

***

The lowest E belongs to which entry?
KVSO6